[1]
Here is crystalline LaNbCl2 at its relaxed geometry from the Alexandria database. Energies are from PBE.

Geometry as POSCAR:
```
LaNbCl2
1.0
-9.323 0.731 -2.201
-9.520 0.617 1.136
-8.928 3.526 -0.405
Nb Cl La
1 2 1
Direct
0.000 0.000 0.000
0.089 0.089 0.089
0.911 0.911 0.911
0.500 0.500 0.500
```

[2]
Here is crystalline LaNbNiCl2 at its relaxed geometry from the Alexandria database. Energies are from PBE.

Geometry as POSCAR:
```
LaNbNiCl2
1.0
-4.436 -1.495 0.149
1.817 -5.064 3.297
-0.662 2.361 3.991
Nb Cl La Ni
1 2 1 1
Direct
0.000 0.000 0.000
0.000 0.000 0.500
0.500 0.000 0.000
0.000 0.500 0.000
0.500 0.500 0.500
```

[3]
Here is crystalline LaNbNi2Cl at its relaxed geometry from the Alexandria database. Energies are from PBE.

Geometry as POSCAR:
```
LaNbNi2Cl
1.0
-4.544 -0.888 1.280
-1.046 -1.700 -4.890
1.234 -4.461 1.287
Ni Cl Nb La
2 1 1 1
Direct
0.000 0.000 0.500
0.500 0.000 0.000
0.000 0.500 0.000
0.500 0.500 0.500
0.000 0.000 0.000
```

[4]
Here is crystalline LaNb2ClO6 at its relaxed geometry from the Alexandria database. Energies are from PBE.

Geometry as POSCAR:
```
LaNb2ClO6
1.0
7.406 0.000 0.000
0.000 8.441 0.000
0.000 0.000 9.988
Cl O Nb La
4 24 8 4
Direct
0.750 0.072 0.108
0.750 0.428 0.608
0.250 0.572 0.392
0.250 0.928 0.892
0.549 0.618 0.828
0.250 0.581 0.998
0.951 0.882 0.328
0.750 0.581 0.330
0.750 0.919 0.830
0.250 0.081 0.170
0.049 0.382 0.172
0.250 0.419 0.670
0.451 0.118 0.672
0.750 0.081 0.502
0.250 0.919 0.498
0.555 0.698 0.106
0.445 0.302 0.894
0.055 0.302 0.894
0.555 0.802 0.606
0.951 0.618 0.828
0.945 0.802 0.606
0.945 0.698 0.106
0.445 0.198 0.394
0.055 0.198 0.394
0.451 0.382 0.172
0.049 0.118 0.672
0.750 0.419 0.002
0.549 0.882 0.328
0.250 0.235 0.762
0.000 0.500 0.000
0.750 0.735 0.738
0.000 0.000 0.500
0.750 0.765 0.238
0.500 0.000 0.500
0.500 0.500 0.000
0.250 0.265 0.262
0.750 0.307 0.324
0.750 0.193 0.824
0.250 0.807 0.176
0.250 0.693 0.676
```

[5]
Here is crystalline Rb2LaNb2ClO7 at its relaxed geometry from the Alexandria database. Energies are from PBE.

Geometry as POSCAR:
```
Rb2LaNb2ClO7
1.0
3.936 0.000 0.000
0.000 3.936 0.000
0.000 0.000 15.332
O Rb Nb Cl La
7 2 2 1 1
Direct
0.500 0.000 0.879
0.000 0.500 0.879
0.000 0.000 0.732
0.000 0.500 0.121
0.500 0.000 0.121
0.000 0.000 0.000
0.000 0.000 0.268
0.500 0.500 0.632
0.500 0.500 0.368
0.000 0.000 0.850
0.000 0.000 0.150
0.000 0.000 0.500
0.500 0.500 0.000
```

[6]
Here is crystalline LaNbOs2Cl at its relaxed geometry from the Alexandria database. Energies are from PBE.

Geometry as POSCAR:
```
LaNbOs2Cl
1.0
-1.728 -1.693 4.238
4.548 0.878 2.205
-1.453 4.500 1.205
Os Nb Cl La
2 1 1 1
Direct
0.500 0.000 0.000
0.000 0.000 0.500
0.500 0.500 0.500
0.000 0.500 0.000
0.000 0.000 0.000
```

[7]
Here is crystalline LaNbPCl2 at its relaxed geometry from the Alexandria database. Energies are from PBE.

Geometry as POSCAR:
```
LaNbPCl2
1.0
4.821 0.000 0.000
0.000 4.821 0.000
0.000 0.000 4.989
Cl P La Nb
2 1 1 1
Direct
0.000 0.500 0.000
0.500 0.000 0.000
0.000 0.000 0.500
0.500 0.500 0.500
0.000 0.000 0.000
```

[8]
Here is crystalline LaNbPCl2 at its relaxed geometry from the Alexandria database. Energies are from PBE.

Geometry as POSCAR:
```
LaNbPCl2
1.0
5.332 0.000 0.000
0.000 5.332 0.000
0.000 0.000 5.847
Cl La Nb P
2 1 1 1
Direct
0.500 0.000 0.000
0.000 0.500 0.000
0.000 0.000 0.000
0.500 0.500 0.500
0.000 0.000 0.500
```

[9]
Here is crystalline LaNbPdCl2 at its relaxed geometry from the Alexandria database. Energies are from PBE.

Geometry as POSCAR:
```
LaNbPdCl2
1.0
5.294 0.000 0.000
0.000 6.595 0.000
0.000 0.000 5.294
Pd Nb La Cl
1 1 1 2
Direct
0.500 0.500 0.500
0.000 0.500 0.000
0.000 0.000 0.000
0.000 0.000 0.500
0.500 0.000 0.000
```

[10]
Here is crystalline Rb2LaNbCl6 at its relaxed geometry from the Alexandria database. Energies are from PBE.

Geometry as POSCAR:
```
Rb2LaNbCl6
1.0
7.570 0.000 0.000
0.000 7.570 0.000
3.785 3.785 5.354
Cl Rb La Nb
6 2 1 1
Direct
0.261 0.739 0.000
0.739 0.739 0.522
0.739 0.739 0.000
0.261 0.261 0.478
0.261 0.261 0.000
0.739 0.261 0.000
0.250 0.750 0.500
0.750 0.250 0.500
0.000 0.000 0.000
0.500 0.500 0.000
```

[11]
Here is crystalline LaNbS2Cl at its relaxed geometry from the Alexandria database. Energies are from PBE.

Geometry as POSCAR:
```
LaNbS2Cl
1.0
-0.590 -4.650 -2.931
-0.053 -2.943 4.679
-5.263 0.505 0.258
S La Nb Cl
2 1 1 1
Direct
0.500 0.000 0.000
0.000 0.500 0.000
0.000 0.000 0.000
0.500 0.500 0.500
0.000 0.000 0.500
```

[12]
Here is crystalline LaNbS2Cl at its relaxed geometry from the Alexandria database. Energies are from PBE.

Geometry as POSCAR:
```
LaNbS2Cl
1.0
-4.445 1.382 -1.289
0.912 -1.317 -4.556
-1.655 -4.437 0.951
La Nb S Cl
1 1 2 1
Direct
0.500 0.500 0.500
0.000 0.000 0.000
0.000 0.500 0.000
0.500 0.000 0.000
0.000 0.000 0.500
```

[13]
Here is crystalline LaNbSCl2 at its relaxed geometry from the Alexandria database. Energies are from PBE.

Geometry as POSCAR:
```
LaNbSCl2
1.0
-1.892 -5.111 0.384
1.547 -0.960 -5.151
5.016 -1.720 1.828
Cl S Nb La
2 1 1 1
Direct
0.500 0.000 0.000
0.000 0.500 0.000
0.000 0.000 0.500
0.500 0.500 0.500
0.000 0.000 0.000
```

[14]
Here is crystalline LaNbSCl2 at its relaxed geometry from the Alexandria database. Energies are from PBE.

Geometry as POSCAR:
```
LaNbSCl2
1.0
-2.013 1.579 -4.141
-4.430 -0.604 1.923
0.110 4.543 1.680
Cl S Nb La
2 1 1 1
Direct
0.000 0.500 0.000
0.500 0.000 0.000
0.000 0.000 0.500
0.000 0.000 0.000
0.500 0.500 0.500
```

[15]
Here is crystalline La2ScNbCl at its relaxed geometry from the Alexandria database. Energies are from PBE.

Geometry as POSCAR:
```
La2ScNbCl
1.0
5.987 0.000 0.000
0.000 4.619 0.000
0.000 0.000 5.987
Sc Cl La Nb
1 1 2 1
Direct
0.000 0.000 0.000
0.500 0.500 0.500
0.000 0.000 0.500
0.500 0.000 0.000
0.000 0.500 0.000
```

[16]
Here is crystalline LaNbSeCl2 at its relaxed geometry from the Alexandria database. Energies are from PBE.

Geometry as POSCAR:
```
LaNbSeCl2
1.0
5.214 0.000 0.000
0.000 6.831 0.000
0.000 0.000 5.214
Cl Nb La Se
2 1 1 1
Direct
0.000 0.000 0.500
0.500 0.000 0.000
0.000 0.500 0.000
0.000 0.000 0.000
0.500 0.500 0.500
```

[17]
Here is crystalline SrLa2NbCl at its relaxed geometry from the Alexandria database. Energies are from PBE.

Geometry as POSCAR:
```
SrLa2NbCl
1.0
5.493 0.000 0.000
0.000 5.385 0.000
0.000 0.000 5.493
Nb La Cl Sr
1 2 1 1
Direct
0.500 0.500 0.500
0.000 0.000 0.500
0.500 0.000 0.000
0.000 0.000 0.000
0.000 0.500 0.000
```

[18]
Here is crystalline LaTiNb2Cl at its relaxed geometry from the Alexandria database. Energies are from PBE.

Geometry as POSCAR:
```
LaTiNb2Cl
1.0
4.767 0.000 0.000
0.000 5.399 0.000
0.000 0.000 4.767
Nb La Ti Cl
2 1 1 1
Direct
0.500 0.000 0.000
0.000 0.000 0.500
0.500 0.500 0.500
0.000 0.000 0.000
0.000 0.500 0.000
```

[19]
Here is crystalline LaNb2VCl at its relaxed geometry from the Alexandria database. Energies are from PBE.

Geometry as POSCAR:
```
LaNb2VCl
1.0
4.592 0.000 0.000
0.000 5.297 0.000
0.000 0.000 4.592
Nb Cl La V
2 1 1 1
Direct
0.000 0.000 0.500
0.500 0.000 0.000
0.000 0.000 0.000
0.000 0.500 0.000
0.500 0.500 0.500
```

[20]
Here is crystalline LaZrNb2Cl at its relaxed geometry from the Alexandria database. Energies are from PBE.

Geometry as POSCAR:
```
LaZrNb2Cl
1.0
-1.715 -1.126 -4.602
-0.809 -5.008 1.527
-4.675 1.197 1.450
Nb Zr Cl La
2 1 1 1
Direct
0.500 0.000 0.000
0.000 0.000 0.500
0.000 0.000 0.000
0.000 0.500 0.000
0.500 0.500 0.500
```

Asked for raw formation energy across the records above, the calculation gives -0.6953, 0.1040, 0.9791, -2.7335, -2.6209, 2.0267, -0.7890, -0.0553, 0.3087, -1.5970, -0.1831, -1.1127, -0.4637, -0.9067, 0.5794, -0.1253, 0.0820, 0.6218, 0.7557, 0.7772 eV per atom in order.
Asked for DFT total energy across the records above, the calculation gives -5.37, -4.79, -4.70, -8.40, -7.51, -5.83, -5.61, -4.88, -4.47, -4.40, -5.20, -6.13, -5.03, -5.47, -5.04, -4.56, -4.61, -6.34, -6.45, -6.32 eV/atom in order.